No. 1
# Ca2ZrPd2

Crystalline Ca2ZrPd2 at its relaxed geometry (GGA-PBE, Alexandria via LeMat-Bulk).

Density in Mg/m³: 5.40
Formation enthalpy at 0 K in eV/atom: -0.448
SG: No. 127
E_tot in Ry/atom: -0.3701

Lattice parameters (Å, degrees): 7.1550 7.1550 4.6176 90.00 90.00 90.00
Fractional coordinates of all 10 atoms:
Pd: 0.1365 0.3635 0.0000
Pd: 0.8635 0.6365 0.0000
Pd: 0.3635 0.8635 0.0000
Pd: 0.6365 0.1365 0.0000
Ca: 0.6699 0.8301 0.5000
Ca: 0.8301 0.3301 0.5000
Ca: 0.1699 0.6699 0.5000
Ca: 0.3301 0.1699 0.5000
Zr: 0.5000 0.5000 0.0000
Zr: 0.0000 0.0000 0.0000


No. 2
# Ca2Zr2Pd

Crystalline Ca2Zr2Pd at its relaxed geometry (GGA-PBE, Alexandria via LeMat-Bulk).

Density in Mg/m³: 4.56
Energy relative to the lowest polymorph listed for this composition in meV per atom: 0
Formation enthalpy at 0 K in eV/atom: 0.087
SG: No. 127
E_tot in Ry/atom: -0.3801

Lattice parameters (Å, degrees): 6.9568 6.9568 5.5549 90.00 90.00 90.00
Fractional coordinates of all 10 atoms:
Zr: 0.6432 0.1432 0.0000
Zr: 0.8568 0.6432 0.0000
Zr: 0.1432 0.3568 0.0000
Zr: 0.3568 0.8568 0.0000
Ca: 0.3274 0.1726 0.5000
Ca: 0.6726 0.8274 0.5000
Ca: 0.8274 0.3274 0.5000
Ca: 0.1726 0.6726 0.5000
Pd: 0.5000 0.5000 0.0000
Pd: 0.0000 0.0000 0.0000


No. 3
# CaZrPd

Crystalline CaZrPd at its relaxed geometry (GGA-PBE, Alexandria via LeMat-Bulk).

Density in Mg/m³: 5.39
Energy relative to the lowest polymorph listed for this composition in meV per atom: 126
Formation enthalpy at 0 K in eV/atom: -0.291
SG: No. 8
E_tot in Ry/atom: -0.4070

Lattice parameters (Å, degrees): 8.1102 3.5924 12.4786 90.00 126.35 90.00
Each line ends with the local moment (μB).
Fractional coordinates of all 12 atoms:
Zr: 0.9218 0.0000 0.6854  0.13
Zr: 0.5011 0.0000 0.9547  0.25
Zr: 0.5011 0.5000 0.4547  0.25
Zr: 0.9218 0.5000 0.1854  0.13
Ca: 0.1737 0.0000 0.5083  0.04
Ca: 0.6262 0.5000 0.7666  0.02
Ca: 0.6262 0.0000 0.2666  0.02
Ca: 0.1737 0.5000 0.0083  0.04
Pd: 0.2389 0.5000 0.7609  0.02
Pd: 0.2389 0.0000 0.2609  0.02
Pd: 0.8686 0.5000 0.4962  0.04
Pd: 0.8686 0.0000 0.9962  0.04


No. 4
# Ca3ZrPd

Crystalline Ca3ZrPd at its relaxed geometry (GGA-PBE, Alexandria via LeMat-Bulk).

Density in Mg/m³: 3.09
Energy relative to the lowest polymorph listed for this composition in meV per atom: 877
Formation enthalpy at 0 K in eV/atom: 1.103
SG: No. 221
E_tot in Ry/atom: -0.2092

Lattice parameters (Å, degrees): 5.5464 5.5464 5.5464 90.00 90.00 90.00
Each line ends with the local moment (μB).
Fractional coordinates of all 5 atoms:
Ca: 0.0000 0.5000 0.0000  0.10
Ca: 0.0000 0.0000 0.5000  0.16
Ca: 0.5000 0.0000 0.0000  0.05
Pd: 0.5000 0.5000 0.5000  0.13
Zr: 0.0000 0.0000 0.0000  0.85


No. 5
# CaZrPd

Crystalline CaZrPd at its relaxed geometry (GGA-PBE, Alexandria via LeMat-Bulk).

Density in Mg/m³: 5.68
Energy relative to the lowest polymorph listed for this composition in meV per atom: 116
Formation enthalpy at 0 K in eV/atom: -0.300
SG: No. 74
E_tot in Ry/atom: -0.4077

Lattice parameters (Å, degrees): 5.9150 6.0663 7.7422 90.00 90.00 90.00
Fractional coordinates of all 12 atoms:
Zr: 0.2500 0.7500 0.2500
Zr: 0.7500 0.2500 0.7500
Zr: 0.7500 0.7500 0.2500
Zr: 0.2500 0.2500 0.7500
Ca: 0.5000 0.2500 0.1417
Ca: 0.0000 0.7500 0.6417
Ca: 0.0000 0.2500 0.3583
Ca: 0.5000 0.7500 0.8583
Pd: 0.5000 0.0000 0.5000
Pd: 0.0000 0.0000 0.0000
Pd: 0.0000 0.5000 0.0000
Pd: 0.5000 0.5000 0.5000


No. 6
# CaZr2Pd3

Crystalline CaZr2Pd3 at its relaxed geometry (GGA-PBE, Alexandria via LeMat-Bulk).

Density in Mg/m³: 7.35
Formation enthalpy at 0 K in eV/atom: -0.634
SG: No. 123
E_tot in Ry/atom: -0.4714

Lattice parameters (Å, degrees): 3.4321 3.4321 10.3913 90.00 90.00 90.00
Fractional coordinates of all 6 atoms:
Zr: 0.5000 0.5000 0.8406
Zr: 0.5000 0.5000 0.1594
Pd: 0.0000 0.0000 0.7065
Pd: 0.0000 0.0000 0.2935
Pd: 0.0000 0.0000 0.0000
Ca: 0.5000 0.5000 0.5000


No. 7
# CaZr3Pd

Crystalline CaZr3Pd at its relaxed geometry (GGA-PBE, Alexandria via LeMat-Bulk).

Density in Mg/m³: 5.00
Energy relative to the lowest polymorph listed for this composition in meV per atom: 0
Formation enthalpy at 0 K in eV/atom: 0.335
SG: No. 221
E_tot in Ry/atom: -0.4581

Lattice parameters (Å, degrees): 5.1872 5.1872 5.1872 90.00 90.00 90.00
Fractional coordinates of all 5 atoms:
Zr: 0.5000 0.0000 0.0000
Zr: 0.0000 0.5000 0.0000
Zr: 0.0000 0.0000 0.5000
Ca: 0.5000 0.5000 0.5000
Pd: 0.0000 0.0000 0.0000


No. 8
# Ca2ZrPd

Crystalline Ca2ZrPd at its relaxed geometry (GGA-PBE, Alexandria via LeMat-Bulk).

Density in Mg/m³: 4.14
Energy relative to the lowest polymorph listed for this composition in meV per atom: 0
Formation enthalpy at 0 K in eV/atom: 0.185
SG: No. 122
E_tot in Ry/atom: -0.3125

Lattice parameters (Å, degrees): 8.7208 8.7208 6.8267 50.30 50.30 90.00
Each line ends with the local moment (μB).
Fractional coordinates of all 8 atoms:
Ca: 0.0560 0.6250 0.2500  0.04
Ca: 0.6940 0.1250 0.2500  0.04
Ca: 0.3750 0.3060 0.7500  0.04
Ca: 0.8750 0.9440 0.7500  0.04
Pd: 0.0000 0.0000 0.0000  0.00
Pd: 0.7500 0.2500 0.5000  0.00
Zr: 0.5000 0.5000 0.0000  0.56
Zr: 0.2500 0.7500 0.5000  0.56


No. 9
# CaZrPd6

Crystalline CaZrPd6 at its relaxed geometry (GGA-PBE, Alexandria via LeMat-Bulk).

Density in Mg/m³: 9.40
Formation enthalpy at 0 K in eV/atom: -0.675
SG: No. 123
E_tot in Ry/atom: -0.4328

Lattice parameters (Å, degrees): 4.0787 4.0787 8.1784 90.00 90.00 90.00
Fractional coordinates of all 8 atoms:
Pd: 0.0000 0.5000 0.7380
Pd: 0.0000 0.5000 0.2620
Pd: 0.5000 0.0000 0.7380
Pd: 0.5000 0.0000 0.2620
Pd: 0.5000 0.5000 0.5000
Pd: 0.5000 0.5000 0.0000
Ca: 0.0000 0.0000 0.0000
Zr: 0.0000 0.0000 0.5000


No. 10
# CaPm2

Crystalline CaPm2 at its relaxed geometry (GGA-PBE, Alexandria via LeMat-Bulk).

Density in Mg/m³: 5.02
Energy relative to the lowest polymorph listed for this composition in meV per atom: 0
Formation enthalpy at 0 K in eV/atom: 0.033
SG: No. 139
E_tot in Ry/atom: -0.2794

Lattice parameters (Å, degrees): 3.7190 3.7190 8.3277 102.90 102.90 89.97
Fractional coordinates of all 3 atoms:
Pm: 0.8249 0.8249 0.6500
Pm: 0.1751 0.1751 0.3500
Ca: 0.5000 0.5000 0.0000


No. 11
# Ca4Pm

Crystalline Ca4Pm at its relaxed geometry (GGA-PBE, Alexandria via LeMat-Bulk).

Density in Mg/m³: 2.32
Energy relative to the lowest polymorph listed for this composition in meV per atom: 322
Formation enthalpy at 0 K in eV/atom: 0.638
SG: No. 221
E_tot in Ry/atom: -0.1406

Lattice parameters (Å, degrees): 6.0212 6.0212 6.0212 90.00 90.00 90.00
Each line ends with the local moment (μB).
Fractional coordinates of all 5 atoms:
Ca: 0.0000 0.5000 0.5000  0.07
Ca: 0.0000 0.0000 0.0000  0.00
Ca: 0.5000 0.0000 0.5000  0.07
Ca: 0.5000 0.5000 0.0000  0.07
Pm: 0.5000 0.5000 0.5000  0.41


No. 12
# Ca6Pm

Crystalline Ca6Pm at its relaxed geometry (GGA-PBE, Alexandria via LeMat-Bulk).

Density in Mg/m³: 1.83
Formation enthalpy at 0 K in eV/atom: 1.146
SG: No. 229
E_tot in Ry/atom: -0.0917

Lattice parameters (Å, degrees): 7.6846 7.6846 7.6846 109.47 109.47 109.47
Fractional coordinates of all 7 atoms:
Pm: 0.0000 0.0000 0.0000
Ca: 0.7500 0.2500 0.5000
Ca: 0.5000 0.7500 0.2500
Ca: 0.2500 0.5000 0.7500
Ca: 0.7500 0.5000 0.2500
Ca: 0.2500 0.7500 0.5000
Ca: 0.5000 0.2500 0.7500


No. 13
# CaPm

Crystalline CaPm at its relaxed geometry (GGA-PBE, Alexandria via LeMat-Bulk).

Density in Mg/m³: 4.07
Energy relative to the lowest polymorph listed for this composition in meV per atom: 10
Formation enthalpy at 0 K in eV/atom: 0.038
SG: No. 160
E_tot in Ry/atom: -0.2454

Lattice parameters (Å, degrees): 3.7466 3.7466 12.6210 81.46 81.46 60.00
Fractional coordinates of all 4 atoms:
Ca: 0.1304 0.1304 0.6087
Ca: 0.5518 0.5518 0.3447
Pm: 0.3031 0.3031 0.0908
Pm: 0.7119 0.7119 0.8643


No. 14
# CaPm7

Crystalline CaPm7 at its relaxed geometry (GGA-PBE, Alexandria via LeMat-Bulk).

Density in Mg/m³: 6.30
Formation enthalpy at 0 K in eV/atom: 0.037
SG: No. 225
E_tot in Ry/atom: -0.3212

Lattice parameters (Å, degrees): 7.3261 7.3261 7.3261 60.00 60.00 60.00
Fractional coordinates of all 8 atoms:
Pm: 0.0000 0.0000 0.5000
Pm: 0.5000 0.0000 0.5000
Pm: 0.0000 0.5000 0.0000
Pm: 0.0000 0.5000 0.5000
Pm: 0.5000 0.5000 0.5000
Pm: 0.5000 0.0000 0.0000
Pm: 0.5000 0.5000 0.0000
Ca: 0.0000 0.0000 0.0000


No. 15
# CaPm3

Crystalline CaPm3 at its relaxed geometry (GGA-PBE, Alexandria via LeMat-Bulk).

Density in Mg/m³: 5.50
Formation enthalpy at 0 K in eV/atom: 0.094
SG: No. 194
E_tot in Ry/atom: -0.2917

Lattice parameters (Å, degrees): 5.9550 7.4556 7.4556 120.00 90.00 90.00
Each line ends with the local moment (μB).
Fractional coordinates of all 8 atoms:
Pm: 0.7500 0.3282 0.1641  0.08
Pm: 0.7500 0.8359 0.6718  0.08
Pm: 0.2500 0.1641 0.3282  0.08
Pm: 0.2500 0.6718 0.8359  0.08
Pm: 0.2500 0.1641 0.8359  0.08
Pm: 0.7500 0.8359 0.1641  0.08
Ca: 0.2500 0.6667 0.3333  0.01
Ca: 0.7500 0.3333 0.6667  0.01


No. 16
# Ca8Pm

Crystalline Ca8Pm at its relaxed geometry (GGA-PBE, Alexandria via LeMat-Bulk).

Density in Mg/m³: 2.09
Formation enthalpy at 0 K in eV/atom: 0.048
SG: No. 139
E_tot in Ry/atom: -0.1660

Lattice parameters (Å, degrees): 5.5834 8.5987 8.5987 83.95 71.05 71.05
Each line ends with the local moment (μB).
Fractional coordinates of all 9 atoms:
Ca: 0.0000 0.3301 0.6699  0.00
Ca: 0.3362 0.0000 0.3276  0.01
Ca: 0.6699 0.3301 0.3301  0.00
Ca: 0.3362 0.3276 0.0000  0.01
Ca: 0.6638 0.6724 0.0000  0.01
Ca: 0.0000 0.6699 0.3301  0.00
Ca: 0.6638 0.0000 0.6724  0.01
Ca: 0.3301 0.6699 0.6699  0.00
Pm: 0.0000 0.0000 0.0000  0.17


No. 17
# CaPm4

Crystalline CaPm4 at its relaxed geometry (GGA-PBE, Alexandria via LeMat-Bulk).

Density in Mg/m³: 5.77
Energy relative to the lowest polymorph listed for this composition in meV per atom: 0
Formation enthalpy at 0 K in eV/atom: 0.073
SG: No. 71
E_tot in Ry/atom: -0.3034

Lattice parameters (Å, degrees): 3.6551 5.8504 9.0323 108.87 101.68 89.98
Fractional coordinates of all 5 atoms:
Pm: 0.7162 0.2165 0.4329
Pm: 0.2838 0.7835 0.5671
Pm: 0.6003 0.5998 0.1993
Pm: 0.3997 0.4002 0.8007
Ca: 0.0000 0.0000 0.0000


No. 18
# CaPm

Crystalline CaPm at its relaxed geometry (GGA-PBE, Alexandria via LeMat-Bulk).

Density in Mg/m³: 4.15
Energy relative to the lowest polymorph listed for this composition in meV per atom: 104
Formation enthalpy at 0 K in eV/atom: 0.132
SG: No. 221
E_tot in Ry/atom: -0.2385

Lattice parameters (Å, degrees): 4.2004 4.2004 4.2004 90.00 90.00 90.00
Fractional coordinates of all 2 atoms:
Pm: 0.0000 0.0000 0.0000
Ca: 0.5000 0.5000 0.5000


No. 19
# Ca3Pm2

Crystalline Ca3Pm2 at its relaxed geometry (GGA-PBE, Alexandria via LeMat-Bulk).

Density in Mg/m³: 3.55
Formation enthalpy at 0 K in eV/atom: 0.031
SG: No. 166
E_tot in Ry/atom: -0.2256

Lattice parameters (Å, degrees): 3.7648 3.7648 15.8014 83.16 83.16 60.00
Fractional coordinates of all 5 atoms:
Pm: 0.3032 0.3032 0.0903
Pm: 0.6968 0.6968 0.9097
Ca: 0.0974 0.0974 0.7077
Ca: 0.9026 0.9026 0.2923
Ca: 0.5000 0.5000 0.5000


No. 20
# CaPm3

Crystalline CaPm3 at its relaxed geometry (GGA-PBE, Alexandria via LeMat-Bulk).

Density in Mg/m³: 5.52
Formation enthalpy at 0 K in eV/atom: 0.061
SG: No. 44
E_tot in Ry/atom: -0.2942

Lattice parameters (Å, degrees): 3.7357 6.4368 7.0079 117.34 105.46 90.00
Fractional coordinates of all 4 atoms:
Pm: 0.5000 0.4965 0.0000
Pm: 0.2435 0.5803 0.4870
Pm: 0.7565 0.0933 0.5130
Ca: 0.0000 0.9966 0.0000